# 1
Material: KNbAgO3
Method: DFT, PBE
State: relaxed

The total magnetization is 0.1 μB/f.u. The total energy comes out at -39.7 eV per formula unit. The space group is No. 11.

POSCAR file:
```
KNbAgO3
1.0
3.0883 0.0000 0.0000
-0.0001 11.1423 0.0000
-0.0002 -0.0167 11.6833
O Ag Nb K
12 4 4 4
Direct
0.7500 0.7049 0.4655
0.7500 0.5100 0.5977
0.7500 0.9900 0.0976
0.2500 0.7874 0.1831
0.2500 0.4899 0.4023
0.2500 0.2049 0.0350
0.2500 0.0099 0.9023
0.7500 0.2125 0.8169
0.7501 0.7950 0.9650
0.2500 0.2953 0.5344
0.2500 0.7126 0.6835
0.7500 0.2875 0.3164
0.7500 0.5919 0.9628
0.2500 0.4080 0.0371
0.7500 0.9080 0.4629
0.2500 0.0921 0.5371
0.7500 0.1284 0.9475
0.7500 0.3717 0.4472
0.2500 0.6284 0.5529
0.2500 0.8715 0.0524
0.7500 0.6141 0.2496
0.2500 0.3859 0.7504
0.7500 0.8863 0.7494
0.2500 0.1138 0.2506
```

# 2
Material: Dy2TlNiAg
Method: DFT, PBE
State: relaxed

The total magnetization is 0.0 μB/f.u. The total energy comes out at -21.7 eV per formula unit. The space group is No. 38.

POSCAR file:
```
Dy2TlNiAg
1.0
3.6976 0.0000 0.0000
0.0000 2.0746 7.3813
0.0000 -2.0746 7.3813
Dy Ni Ag Tl
2 1 1 1
Direct
0.5000 0.3688 0.3688
0.5000 0.6321 0.6321
0.0000 0.1939 0.1939
0.0000 0.7998 0.7998
0.0000 0.0055 0.0055
```

# 3
Material: AgHgSeO
Method: DFT, PBE
State: relaxed

The total energy comes out at -11.5 eV per formula unit. The space group is No. 129.

POSCAR file:
```
AgHgSeO
1.0
4.9783 0.0000 0.0000
0.0000 4.9783 0.0000
0.0000 0.0000 7.8379
Hg Se Ag O
2 2 2 2
Direct
0.7500 0.7500 0.3137
0.2500 0.2500 0.6863
0.7500 0.7500 0.8769
0.2500 0.2500 0.1231
0.7500 0.2500 0.0000
0.2500 0.7500 0.0000
0.2500 0.2500 0.3403
0.7500 0.7500 0.6597
```

# 4
Material: GdTe4P
Method: DFT, PBE
State: relaxed

The total magnetization is 0.0 μB/f.u. The total energy comes out at -25.4 eV per formula unit. The space group is No. 2.

POSCAR file:
```
GdTe4P
1.0
-6.6221 2.2629 2.2479
-0.1772 -3.0395 6.7490
3.0838 6.7535 3.3931
Te Gd P
8 2 2
Direct
0.9436 0.4723 0.2501
0.1252 0.0089 0.7627
0.3883 0.2760 0.0932
0.4053 0.7746 0.3737
0.8745 0.9917 0.2367
0.5941 0.2263 0.6257
0.0557 0.5280 0.7492
0.6112 0.7246 0.9061
0.7956 0.2887 0.9400
0.2042 0.7114 0.0595
0.3107 0.2609 0.7984
0.6889 0.7395 0.2009
```

# 5
Material: Tl2AgAs
Method: DFT, PBE
State: relaxed

The total energy comes out at -11.5 eV per formula unit. The space group is No. 216.

POSCAR file:
```
Tl2AgAs
1.0
1.2555 -5.0280 -0.0154
-0.7304 -2.8662 4.2555
-3.7256 -3.6013 0.0907
Tl Ag As
2 1 1
Direct
0.5000 0.5000 0.5000
0.7500 0.7500 0.7500
0.0000 0.0000 0.0000
0.2500 0.2500 0.2500
```

# 6
Material: Ho5Te3Ir
Method: DFT, PBE
State: relaxed

The total magnetization is 0.0 μB/f.u. The total energy comes out at -45.9 eV per formula unit. The space group is No. 189.

POSCAR file:
```
Ho5Te3Ir
1.0
-1.8863 -0.7498 7.9275
7.7916 -0.6055 -2.4270
0.4760 4.1118 0.5022
Te Ho Ir
3 5 1
Direct
0.7339 0.7339 0.5000
0.2661 0.0000 0.5000
0.0000 0.2661 0.5000
0.0000 0.6663 0.0000
0.6663 0.0000 0.0000
0.3337 0.3337 0.0000
0.6667 0.3333 0.5000
0.3333 0.6667 0.5000
0.0000 0.0000 0.0000
```

# 7
Material: ErGaW
Method: DFT, PBE
State: relaxed

The total magnetization is 2.1 μB/f.u. The total energy comes out at -16.6 eV per formula unit. The space group is No. 216.

POSCAR file:
```
ErGaW
1.0
0.0000 3.3302 3.3302
3.3302 0.0000 3.3302
3.3302 3.3302 0.0000
Ga W Er
1 1 1
Direct
0.2500 0.2500 0.2500
0.7500 0.7500 0.7500
0.0000 0.0000 0.0000
```

# 8
Material: Re2TeS3
Method: DFT, PBE
State: relaxed

The total magnetization is 0.0 μB/f.u. The total energy comes out at -42.9 eV per formula unit. The space group is No. 2.

POSCAR file:
```
Re2TeS3
1.0
6.5724 0.0000 0.0000
-3.2764 5.9347 0.0000
-1.6175 -1.1195 6.6121
S Te Re
6 2 4
Direct
0.7828 0.3961 0.3081
0.7405 0.8540 0.2735
0.7344 0.1087 0.7686
0.2595 0.1460 0.7265
0.2172 0.6039 0.6919
0.2656 0.8913 0.2314
0.7571 0.6346 0.7303
0.2429 0.3654 0.2697
0.0672 0.8138 0.4917
0.9328 0.1862 0.5083
0.5120 0.2019 0.5033
0.4880 0.7981 0.4967
```